# 1
Material: La4Pr5Dy2
Method: DFT, PBE
State: optimized geometry

Cell: 9.1568 3.5917 12.0605 Å, 90.00 94.39 90.00°
Fractional coordinates of all 11 atoms:
La 0.1523 0.0000 0.3933
La 0.2875 0.0000 0.9507
La 0.7125 0.0000 0.0493
La 0.8477 0.0000 0.6067
Pr 0.1988 0.5000 0.6714
Pr 0.4242 0.5000 0.2081
Pr 0.5000 0.5000 0.5000
Pr 0.5758 0.5000 0.7919
Pr 0.8012 0.5000 0.3286
Dy 0.0564 0.5000 0.1344
Dy 0.9436 0.5000 0.8656

As for the formation enthalpy at 0 K: 80 meV/atom. The symmetry is No. 10. The value obtained for the total energy is -4.721 eV/atom. The value obtained for the size of the total moment is 0.00 μB per formula unit.

***

# 2
Material: La4PrDy3
Method: DFT, PBE
State: optimized geometry

Cell: 9.0673 9.0673 9.0673 Å, 157.51 98.46 85.93°
Fractional coordinates of all 8 atoms:
La 0.1162 0.8668 0.2494
La 0.3826 0.1332 0.2494
La 0.6174 0.8668 0.7506
La 0.8838 0.1332 0.7506
Pr 0.5000 0.0000 0.5000
Dy 0.0000 0.5000 0.5000
Dy 0.2620 0.2620 0.0000
Dy 0.7380 0.7380 0.0000

As for the formation enthalpy at 0 K: 115 meV/atom. The symmetry is No. 71. The value obtained for the total energy is -4.672 eV/atom. The value obtained for the size of the total moment is 0.00 μB per formula unit.

***

# 3
Material: La12Pr5Dy2
Method: DFT, PBE
State: optimized geometry

Cell: 6.4680 9.7035 11.8942 Å, 68.51 82.97 85.21°
Fractional coordinates of all 19 atoms:
La 0.0273 0.4481 0.3624
La 0.2367 0.9072 0.4687
La 0.2415 0.1636 0.6122
La 0.2420 0.5608 0.0466
La 0.2928 0.3301 0.8665
La 0.3580 0.9503 0.9060
La 0.6420 0.0497 0.0940
La 0.7072 0.6699 0.1335
La 0.7580 0.4392 0.9534
La 0.7585 0.8364 0.3878
La 0.7633 0.0928 0.5313
La 0.9727 0.5519 0.6376
Pr 0.0602 0.1883 0.1906
Pr 0.4803 0.7158 0.7222
Pr 0.5000 0.5000 0.5000
Pr 0.5197 0.2842 0.2778
Pr 0.9398 0.8117 0.8094
Dy 0.2083 0.8074 0.2150
Dy 0.7917 0.1926 0.7850

As for the formation enthalpy at 0 K: 77 meV/atom. The symmetry is No. 2. The value obtained for the total energy is -4.777 eV/atom. The value obtained for the size of the total moment is 0.00 μB per formula unit.